Record 1
An optimized crystal structure of HfNiB2W, computed with PBE-GGA.

Calculated values
crystal system: tetragonal
total DFT energy (no corrections): -35.0 eV per cell

```
5
Lattice="4.137 0.000 0.000 0.000 4.137 0.000 0.000 0.000 5.025" Properties=species:S:1:pos:R:3 pbc="T T T"
Hf 0.000 0.000 0.000
Ni 2.068 2.068 0.000
B 0.000 2.068 2.513
B 2.068 0.000 2.513
W 0.000 0.000 2.513
```

***

Record 2
An optimized crystal structure of NaAcReO6, computed with PBE-GGA.

Calculated values
raw formation energy: -1.99 eV per atom
crystal system: triclinic

```
9
Lattice="5.143 0.000 0.000 0.196 5.634 0.000 0.095 2.815 4.949" Properties=species:S:1:pos:R:3 pbc="T T T"
Na 0.000 0.000 0.000
Ac 2.765 5.633 3.228
Re 5.237 2.817 1.750
O 1.054 3.443 0.111
O 1.112 1.237 1.651
O 1.286 3.582 2.896
O 4.043 2.053 2.895
O 4.219 4.396 1.646
O 4.292 2.195 0.105
```

***

Record 3
An optimized crystal structure of Tb4MgS7, computed with PBE-GGA.

Calculated values
raw formation energy: -1.95 eV per atom
crystal system: monoclinic

```
12
Lattice="6.330 -1.914 0.000 6.330 1.914 0.000 -3.033 0.000 11.128" Properties=species:S:1:pos:R:3 pbc="T T T"
Tb 0.000 0.000 0.000
Tb 0.070 0.000 8.489
Tb 6.183 0.000 3.972
Tb 9.452 0.000 6.246
Mg 9.324 0.000 1.624
S 1.309 0.000 2.382
S 1.224 0.000 5.729
S 4.675 0.000 0.899
S 4.982 0.000 6.884
S 5.165 0.000 10.319
S 8.321 0.000 8.716
S 10.592 0.000 3.829
```